BeSi2: relaxed, PBE-GGA.

## Properties
Total magnetization ... 0.0 μB/f.u.
E_form (uncorrected) ... 114 kJ/mol of formula units
Energy above the lowest structure with this stoichiometry ... 138 meV per atom
E ... -26.78 eV per cell

Unit cell a=4.6675 b=4.6675 c=4.6675 alpha=102.85 beta=102.85 gamma=123.72
Closest atoms and distances in Å follow each position.
Fractional coordinates of all 6 atoms:
Be1 0.2500 0.2500 0.0000  2 Be 2.20, 8 Si 2.46
Be2 0.7500 0.7500 0.0000  2 Be 2.20, 8 Si 2.46
Si1 0.1566 0.6566 0.8133  4 Be 2.46, 3 Si 2.58-2.68
Si2 0.3434 0.1566 0.5000  4 Be 2.46, 3 Si 2.58-2.68
Si3 0.6566 0.8434 0.5000  4 Be 2.46, 3 Si 2.58-2.68
Si4 0.8434 0.3434 0.1867  4 Be 2.46, 3 Si 2.58-2.68